# Y6ErCo2 | Alexandria via LeMat-Bulk | PBE-GGA | optimized geometry
# density = 5.6 g cm⁻³
# calculated volume = 964.0 Å³/cell
# formation enthalpy at 0 K = -0.061 eV/atom
# raw total energy = -6.46 eV per atom
data_Y6ErCo2
_space_group_name_H-M_alt 'I m m m'
_space_group_IT_number 71
_space_group_name_Hall '-I 2 2'
_cell_length_a 9.497
_cell_length_b 10.069
_cell_length_c 10.081
_cell_angle_alpha 90.00
_cell_angle_beta 90.00
_cell_angle_gamma 90.00
loop_
_atom_site_label
_atom_site_fract_x
_atom_site_fract_y
_atom_site_fract_z
Y1 0.000 0.211 0.242
Y2 0.183 0.500 0.180
Y3 0.211 0.316 0.500
Er1 0.000 0.000 0.000
Er2 0.000 0.000 0.500
Co1 0.000 0.288 0.000
Co2 0.000 0.500 0.387



# Y2ErCo2 | Alexandria via LeMat-Bulk | PBE-GGA | optimized geometry
# density = 6.9 g cm⁻³
# calculated volume = 443.3 Å³/cell
# excess energy over the best structure of this formula in the dataset = 0 meV per atom
# formation enthalpy at 0 K = -0.182 eV/atom
# raw total energy = -6.52 eV per atom
data_Y2ErCo2
_space_group_name_H-M_alt 'C 1 2/c 1'
_space_group_IT_number 15
_cell_length_a 10.625
_cell_length_b 5.824
_cell_length_c 7.328
_cell_angle_alpha 90.00
_cell_angle_beta 102.11
_cell_angle_gamma 90.00
loop_
_space_group_symop_operation_xyz
'x,y,z'
'-x,-y,-z'
'-x,y,-z+1/2'
'x,-y,z+1/2'
'x+1/2,y+1/2,z'
'-x+1/2,-y+1/2,-z'
'-x+1/2,y+1/2,-z+1/2'
'x+1/2,-y+1/2,z+1/2'
loop_
_atom_site_label
_atom_site_fract_x
_atom_site_fract_y
_atom_site_fract_z
Y1 0.157 0.117 0.150
Er1 0.000 0.409 0.750
Co1 0.163 0.355 0.511



# YEr2Co2 | Alexandria via LeMat-Bulk | PBE-GGA | optimized geometry
# density = 8.5 g cm⁻³
# calculated volume = 212.6 Å³/cell
# excess energy over the best structure of this formula in the dataset = 0 meV per atom
# formation enthalpy at 0 K = -0.169 eV/atom
# raw total energy = -6.13 eV per atom
data_YEr2Co2
_space_group_name_H-M_alt 'P 4/m b m'
_space_group_IT_number 127
_space_group_name_Hall '-P 4 2ab'
_cell_length_a 7.162
_cell_length_b 7.162
_cell_length_c 4.144
_cell_angle_alpha 90.00
_cell_angle_beta 90.00
_cell_angle_gamma 90.00
loop_
_atom_site_label
_atom_site_fract_x
_atom_site_fract_y
_atom_site_fract_z
Y1 0.000 0.000 0.000
Er1 0.172 0.328 0.500
Co1 0.111 0.611 0.000



# Y2ErCo | Alexandria via LeMat-Bulk | PBE-GGA | optimized geometry
# density = 6.6 g cm⁻³
# calculated volume = 409.6 Å³/cell
# excess energy over the best structure of this formula in the dataset = 0 meV per atom
# formation enthalpy at 0 K = -0.159 eV/atom
# raw total energy = -6.31 eV per atom
data_Y2ErCo
_space_group_name_H-M_alt 'P n m a'
_space_group_IT_number 62
_cell_length_a 6.954
_cell_length_b 9.422
_cell_length_c 6.251
_cell_angle_alpha 90.00
_cell_angle_beta 90.00
_cell_angle_gamma 90.00
loop_
_space_group_symop_operation_xyz
'x,y,z'
'-x,-y,-z'
'-x+1/2,-y,z+1/2'
'x+1/2,y,-z+1/2'
'x+1/2,-y+1/2,-z+1/2'
'-x+1/2,y+1/2,z+1/2'
'-x,y+1/2,-z'
'x,-y+1/2,z'
loop_
_atom_site_label
_atom_site_fract_x
_atom_site_fract_y
_atom_site_fract_z
Y1 0.175 0.068 0.178
Er1 0.045 0.250 0.644
Co1 0.114 0.750 0.961